Computed, not measured: Cr2SiBiO8 after structural relaxation at the PBE+U level of DFT.

Output
Crystal system: orthorhombic
Calculated total energy (eV per cell): -167.1

abc: 6.4673 6.4748 6.1314
angles: 90.00 90.00 90.00
Space group Cmmm (No. 65)
Symmetry-distinct sites (fractional):
Cr 0.0000 0.0000 0.2326 x4
Si 0.0000 0.5000 0.0000 x2
Bi 0.0000 0.5000 0.5000 x2
O 0.0000 0.3091 0.2129 x8
O 0.1789 0.0000 0.5000 x4
O 0.2098 0.0000 0.0000 x4